Here is an optimized crystal structure of Fe2Si3 from Alexandria via LeMat-Bulk. Energies are from GGA-PBEsol.

Values from the calculation:
The value obtained for the total energy is -7.549 eV per atom. As for the formation energy (no corrections): -2.6 eV/f.u.

a = 3.804 Å, b = 3.804 Å, c = 4.636 Å
α = 90.00°, β = 90.00°, γ = 120.00°
Element x y z (fractional)
Si (0.000, 0.000, 0.000)
Si (0.333, 0.667, 0.359)
Si (0.667, 0.333, 0.641)
Fe (0.333, 0.667, 0.849)
Fe (0.667, 0.333, 0.151)


Here is an optimized crystal structure of FeSi3 from Alexandria via LeMat-Bulk. Energies are from GGA-PBEsol.

Values from the calculation:
The value obtained for the total energy is -6.458 eV per atom. As for the formation energy (no corrections): 0.4 eV/f.u.

a = 2.984 Å, b = 3.994 Å, c = 4.160 Å
α = 90.00°, β = 90.00°, γ = 90.00°
Element x y z (fractional)
Si (0.500, 0.513, 0.000)
Si (0.000, 0.683, 0.500)
Si (0.500, 0.174, 0.500)
Fe (0.000, 0.963, 0.000)


Here is an optimized crystal structure of SmFe10Si2 from Alexandria via LeMat-Bulk. Energies are from GGA-PBEsol.

Values from the calculation:
The value obtained for the total energy is -8.336 eV per atom. As for the formation energy (no corrections): -2.1 eV/f.u.

a = 4.730 Å, b = 6.203 Å, c = 6.225 Å
α = 81.67°, β = 67.67°, γ = 67.59°
Element x y z (fractional)
Fe (0.276, 0.223, 0.224)
Fe (0.500, 0.000, 0.500)
Fe (0.360, 0.638, 0.642)
Fe (0.998, 0.362, 0.642)
Fe (0.640, 0.362, 0.358)
Fe (0.500, 0.777, 0.224)
Fe (0.000, 0.000, 0.500)
Fe (0.724, 0.777, 0.776)
Fe (0.002, 0.638, 0.358)
Fe (0.500, 0.223, 0.776)
Sm (0.000, 0.000, 0.000)
Si (0.500, 0.500, 0.000)
Si (0.000, 0.500, 0.000)


Here is an optimized crystal structure of SmFeSi2 from Alexandria via LeMat-Bulk. Energies are from GGA-PBEsol.

Values from the calculation:
The value obtained for the total energy is -7.176 eV per atom. As for the formation energy (no corrections): -3.2 eV/f.u.

a = 3.974 Å, b = 4.266 Å, c = 7.946 Å
α = 103.87°, β = 90.00°, γ = 90.00°
Element x y z (fractional)
Si (0.250, 0.955, 0.901)
Si (0.750, 0.045, 0.099)
Si (0.750, 0.674, 0.496)
Si (0.250, 0.326, 0.504)
Fe (0.750, 0.116, 0.392)
Fe (0.250, 0.884, 0.608)
Sm (0.250, 0.605, 0.206)
Sm (0.750, 0.395, 0.794)